# 1
A plane-wave DFT calculation with PBE was carried out for crystalline YBeBPd at its relaxed geometry.

a = 4.3441 Å, b = 4.3441 Å, c = 4.3441 Å
α = 60.00°, β = 60.00°, γ = 60.00°
Closest atoms and distances in Å follow each position.
Element x y z (fractional)
B1 0.5000 0.5000 0.5000  4 Be 2.66, 4 Pd 2.66
Y1 0.0000 0.0000 0.0000  4 Pd 2.66, 4 Be 2.66
Be1 0.7500 0.7500 0.7500  4 B 2.66, 4 Y 2.66
Pd1 0.2500 0.2500 0.2500  4 Y 2.66, 4 B 2.66

## Properties
VASP energy: -5.176 eV per atom
polymorph energy (0 for the lowest one): 0.368 eV per atom

***

# 2
A plane-wave DFT calculation with PBE was carried out for crystalline YBeBPd at its relaxed geometry.

a = 4.3915 Å, b = 4.3915 Å, c = 4.3915 Å
α = 60.00°, β = 60.00°, γ = 60.00°
Closest atoms and distances in Å follow each position.
Element x y z (fractional)
Be1 0.7500 0.7500 0.7500  4 Pd 2.69, 4 B 2.69
B1 0.0000 0.0000 0.0000  4 Be 2.69, 4 Y 2.69
Pd1 0.5000 0.5000 0.5000  4 Be 2.69, 4 Y 2.69
Y1 0.2500 0.2500 0.2500  4 Pd 2.69, 4 B 2.69

## Properties
VASP energy: -5.339 eV per atom
polymorph energy (0 for the lowest one): 0.204 eV per atom

***

# 3
A plane-wave DFT calculation with PBE was carried out for crystalline YBeBPd at its relaxed geometry.

a = 4.2720 Å, b = 4.2720 Å, c = 4.2720 Å
α = 60.00°, β = 60.00°, γ = 60.00°
Closest atoms and distances in Å follow each position.
Element x y z (fractional)
Pd1 0.5000 0.5000 0.5000  4 Be 2.62, 4 B 2.62
B1 0.2500 0.2500 0.2500  4 Y 2.62, 4 Pd 2.62
Be1 0.7500 0.7500 0.7500  4 Pd 2.62, 4 Y 2.62
Y1 0.0000 0.0000 0.0000  4 B 2.62, 4 Be 2.62

## Properties
VASP energy: -5.544 eV per atom
polymorph energy (0 for the lowest one): 0.000 eV per atom

***

# 4
A plane-wave DFT calculation with PBE was carried out for crystalline PmBeB4 at its relaxed geometry.

a = 3.1158 Å, b = 3.1158 Å, c = 6.9094 Å
α = 90.00°, β = 90.00°, γ = 120.00°
Closest atoms and distances in Å follow each position.
Element x y z (fractional)
B1 0.3333 0.6667 0.8058  3 B 1.80
B2 0.6667 0.3333 0.1942  3 B 1.80
B3 0.3333 0.6667 0.1942  3 B 1.80
Pm1 0.0000 0.0000 0.5000  12 B 2.78
B4 0.6667 0.3333 0.8058  3 B 1.80
Be1 0.0000 0.0000 0.0000  12 B 2.24

## Properties
VASP energy: -5.910 eV per atom
polymorph energy (0 for the lowest one): 0.000 eV per atom

***

# 5
A plane-wave DFT calculation with PBE was carried out for crystalline PmBeB4 at its relaxed geometry.

a = 5.0248 Å, b = 5.0248 Å, c = 5.0248 Å
α = 143.32°, β = 117.16°, γ = 75.02°
Closest atoms and distances in Å follow each position.
Element x y z (fractional)
Be1 0.0000 0.0000 0.0000  12 B 2.59-2.74
B1 0.9179 0.2436 0.6742  3 B 1.77-1.83
B2 0.4306 0.7564 0.6743  3 B 1.77-1.83
B3 0.0821 0.7564 0.3258  3 B 1.77-1.83
B4 0.5694 0.2436 0.3257  3 B 1.77-1.83
Pm1 0.5000 0.5000 0.0000  12 B 2.66-2.67

## Properties
VASP energy: -5.762 eV per atom
polymorph energy (0 for the lowest one): 0.148 eV per atom

***

# 6
A plane-wave DFT calculation with PBE was carried out for crystalline PmBeB at its relaxed geometry.

a = 4.1404 Å, b = 4.1404 Å, c = 4.1404 Å
α = 60.00°, β = 60.00°, γ = 60.00°
Closest atoms and distances in Å follow each position.
Element x y z (fractional)
B1 0.0000 0.0000 0.0000  4 Be 2.54, 4 Pm 2.54
Be1 0.2500 0.2500 0.2500  4 B 2.54
Pm1 0.7500 0.7500 0.7500  4 B 2.54

## Properties
VASP energy: -4.898 eV per atom
polymorph energy (0 for the lowest one): 0.000 eV per atom

***

# 7
A plane-wave DFT calculation with PBE was carried out for crystalline Pm4Be2B at its relaxed geometry.

a = 6.8714 Å, b = 6.8714 Å, c = 4.2885 Å
α = 90.00°, β = 90.00°, γ = 112.55°
Closest atoms and distances in Å follow each position.
Element x y z (fractional)
Pm1 0.2430 0.7570 0.0000  1 B 2.78, 4 Be 2.87
Be1 0.0000 0.5000 0.5000  6 Pm 2.87
Pm2 0.7570 0.2430 0.0000  1 B 2.78, 4 Be 2.87
B1 0.0000 0.0000 0.0000  6 Pm 2.72-2.78
Be2 0.5000 0.0000 0.5000  6 Pm 2.87
Pm3 0.7799 0.7799 0.4979  2 B 2.72-2.73, 2 Be 2.87
Pm4 0.2201 0.2201 0.5021  2 B 2.72-2.73, 2 Be 2.87

## Properties
VASP energy: -4.307 eV per atom

***

# 8
A plane-wave DFT calculation with PBE was carried out for crystalline PrBeB4 at its relaxed geometry.

a = 3.1173 Å, b = 3.1173 Å, c = 7.0883 Å
α = 90.00°, β = 90.00°, γ = 120.00°
Closest atoms and distances in Å follow each position.
Element x y z (fractional)
B1 0.3333 0.6667 0.6884  3 B 1.80
B2 0.6667 0.3333 0.3116  3 B 1.80
Pr1 0.0000 0.0000 0.0000  12 B 2.85, 6 Pr 3.12
B3 0.3333 0.6667 0.3116  3 B 1.80
B4 0.6667 0.3333 0.6884  3 B 1.80
Be1 0.0000 0.0000 0.5000  12 B 2.24

## Properties
VASP energy: -5.856 eV per atom
polymorph energy (0 for the lowest one): 0.000 eV per atom

***

# 9
A plane-wave DFT calculation with PBE was carried out for crystalline PrBeB4 at its relaxed geometry.

a = 5.1311 Å, b = 5.1311 Å, c = 5.1311 Å
α = 144.17°, β = 118.21°, γ = 73.53°
Closest atoms and distances in Å follow each position.
Element x y z (fractional)
Be1 0.5000 0.5000 0.0000  12 B 2.66-2.77
Pr1 0.0000 0.0000 0.0000  12 B 2.71-2.72
B1 0.9271 0.2543 0.6728  3 B 1.78-1.82
B2 0.4185 0.7457 0.6728  3 B 1.78-1.82
B3 0.0729 0.7457 0.3272  3 B 1.78-1.82
B4 0.5815 0.2543 0.3272  3 B 1.78-1.82

## Properties
VASP energy: -5.679 eV per atom
polymorph energy (0 for the lowest one): 0.177 eV per atom

***

# 10
A plane-wave DFT calculation with PBE was carried out for crystalline Be2BPt2 at its relaxed geometry.

a = 5.7650 Å, b = 5.7650 Å, c = 3.5503 Å
α = 90.00°, β = 90.00°, γ = 90.00°
Closest atoms and distances in Å follow each position.
Element x y z (fractional)
Pt1 0.3289 0.1711 0.0000  2 B 2.14, 2 Be 2.36
B1 0.5000 0.5000 0.0000  4 Pt 2.14
Be1 0.8624 0.6376 0.5000  1 Be 2.24, 2 Pt 2.36
Pt2 0.8289 0.3289 0.0000  2 B 2.14, 2 Be 2.36
Pt3 0.1711 0.6711 0.0000  2 B 2.14, 2 Be 2.36
B2 0.0000 0.0000 0.0000  4 Pt 2.14
Be2 0.1376 0.3624 0.5000  1 Be 2.24, 2 Pt 2.36
Be3 0.3624 0.8624 0.5000  1 Be 2.24, 2 Pt 2.36
Pt4 0.6711 0.8289 0.0000  2 B 2.14, 2 Be 2.36
Be4 0.6376 0.1376 0.5000  1 Be 2.24, 2 Pt 2.36

## Properties
VASP energy: -5.506 eV per atom

***

# 11
A plane-wave DFT calculation with PBE was carried out for crystalline BeBPt at its relaxed geometry.

a = 3.6768 Å, b = 3.6768 Å, c = 3.6768 Å
α = 60.00°, β = 60.00°, γ = 60.00°
Closest atoms and distances in Å follow each position.
Element x y z (fractional)
Be1 0.7500 0.7500 0.7500  4 Pt 2.25
B1 0.2500 0.2500 0.2500  4 Pt 2.25
Pt1 0.0000 0.0000 0.0000  4 B 2.25, 4 Be 2.25

## Properties
VASP energy: -5.413 eV per atom
polymorph energy (0 for the lowest one): 0.228 eV per atom

***

# 12
A plane-wave DFT calculation with PBE was carried out for crystalline BeBPt at its relaxed geometry.

a = 3.5738 Å, b = 3.5738 Å, c = 3.5738 Å
α = 60.00°, β = 60.00°, γ = 60.00°
Closest atoms and distances in Å follow each position.
Element x y z (fractional)
Pt1 0.7500 0.7500 0.7500  4 B 2.19
Be1 0.2500 0.2500 0.2500  4 B 2.19
B1 0.0000 0.0000 0.0000  4 Be 2.19, 4 Pt 2.19

## Properties
VASP energy: -5.641 eV per atom
polymorph energy (0 for the lowest one): 0.000 eV per atom

***

# 13
A plane-wave DFT calculation with PBE was carried out for crystalline ScBeBPt at its relaxed geometry.

a = 4.2025 Å, b = 4.2025 Å, c = 4.2025 Å
α = 60.00°, β = 60.00°, γ = 60.00°
Closest atoms and distances in Å follow each position.
Element x y z (fractional)
Pt1 0.5000 0.5000 0.5000  4 Be 2.57, 4 Sc 2.57
Be1 0.7500 0.7500 0.7500  4 Pt 2.57, 4 B 2.57
B1 0.0000 0.0000 0.0000  4 Sc 2.57, 4 Be 2.57
Sc1 0.2500 0.2500 0.2500  4 B 2.57, 4 Pt 2.57

## Properties
VASP energy: -5.753 eV per atom
polymorph energy (0 for the lowest one): 0.316 eV per atom

***

# 14
A plane-wave DFT calculation with PBE was carried out for crystalline ScBeBPt at its relaxed geometry.

a = 4.1529 Å, b = 4.1529 Å, c = 4.1529 Å
α = 60.00°, β = 60.00°, γ = 60.00°
Closest atoms and distances in Å follow each position.
Element x y z (fractional)
B1 0.5000 0.5000 0.5000  4 Be 2.54, 4 Pt 2.54
Pt1 0.2500 0.2500 0.2500  4 Sc 2.54, 4 B 2.54
Sc1 0.0000 0.0000 0.0000  4 Pt 2.54, 4 Be 2.54
Be1 0.7500 0.7500 0.7500  4 B 2.54, 4 Sc 2.54

## Properties
VASP energy: -5.658 eV per atom
polymorph energy (0 for the lowest one): 0.411 eV per atom

***

# 15
A plane-wave DFT calculation with PBE was carried out for crystalline ScBeBPt at its relaxed geometry.

a = 4.0685 Å, b = 4.0685 Å, c = 4.0685 Å
α = 60.00°, β = 60.00°, γ = 60.00°
Closest atoms and distances in Å follow each position.
Element x y z (fractional)
Be1 0.7500 0.7500 0.7500  4 Sc 2.49, 4 Pt 2.49
Sc1 0.0000 0.0000 0.0000  4 Be 2.49, 4 B 2.49
B1 0.2500 0.2500 0.2500  4 Pt 2.49, 4 Sc 2.49
Pt1 0.5000 0.5000 0.5000  4 B 2.49, 4 Be 2.49

## Properties
VASP energy: -6.069 eV per atom
polymorph energy (0 for the lowest one): 0.000 eV per atom